(1)
Below is an optimized crystal structure of Rb3NaCo2Cl8, with properties calculated at the PBE level.

```
data_Rb3NaCo2Cl8
_space_group_name_H-M_alt 'P -3 m 1'
_space_group_IT_number 164
_space_group_name_Hall '-P 3 2"'
_cell_length_a 7.3496
_cell_length_b 7.3496
_cell_length_c 9.2907
_cell_angle_alpha 90.00
_cell_angle_beta 90.00
_cell_angle_gamma 120.00
loop_
_atom_site_label
_atom_site_type_symbol
_atom_site_fract_x
_atom_site_fract_y
_atom_site_fract_z
_atom_site_occupancy
Rb1 Rb 0.0000 0.0000 0.0000 1
Rb2 Rb 0.3333 0.6667 0.6361 1
Na1 Na 0.0000 0.0000 0.5000 1
Co1 Co 0.3333 0.6667 0.2164 1
Cl1 Cl 0.1695 0.3390 0.3128 1
Cl2 Cl 0.3333 0.6667 0.9789 1
```

- Final energy: -3.727 eV/atom
- Magnetization: 6.00 μB/f.u.
- Crystal system: trigonal

---

(2)
Below is an optimized crystal structure of Ag5Hg2Au4, with properties calculated at the PBE level.

```
data_Ag5Hg2Au4
_space_group_name_H-M_alt 'I m m m'
_space_group_IT_number 71
_space_group_name_Hall '-I 2 2'
_cell_length_a 4.842
_cell_length_b 7.931
_cell_length_c 11.317
_cell_angle_alpha 90.00
_cell_angle_beta 90.00
_cell_angle_gamma 90.00
loop_
_atom_site_label
_atom_site_type_symbol
_atom_site_fract_x
_atom_site_fract_y
_atom_site_fract_z
_atom_site_occupancy
Ag1 Ag 0.000 0.000 0.000 1
Ag2 Ag 0.000 0.170 0.239 1
Hg1 Hg 0.000 0.500 0.368 1
Au1 Au 0.000 0.175 0.500 1
Au2 Au 0.000 0.500 0.120 1
```

- Formation enthalpy at 0 K: 0.1334 eV/atom
- Relative energy among the computed polymorphs: 0.089 eV/atom
- Magnetization: 0.00 μB/f.u.
- Crystal system: orthorhombic

---

(3)
Below is an optimized crystal structure of ErTiRe, with properties calculated at the PBE level.

```
data_ErTiRe
_space_group_name_H-M_alt 'R 3 m'
_space_group_IT_number 160
_space_group_name_Hall 'R 3 -2"'
_cell_length_a 3.1755
_cell_length_b 3.1755
_cell_length_c 20.7441
_cell_angle_alpha 90.00
_cell_angle_beta 90.00
_cell_angle_gamma 120.00
loop_
_atom_site_label
_atom_site_type_symbol
_atom_site_fract_x
_atom_site_fract_y
_atom_site_fract_z
_atom_site_occupancy
Er1 Er 0.0000 0.0000 0.0000 1
Ti1 Ti 0.0000 0.0000 0.1985 1
Re1 Re 0.0000 0.0000 0.7800 1
```

- Formation enthalpy at 0 K: 0.2416 eV/atom
- Magnetization: 0.00 μB/f.u.
- Crystal system: trigonal

---

(4)
Below is an optimized crystal structure of CaTmSc2, with properties calculated at the PBE level.

```
data_CaTmSc2
_space_group_name_H-M_alt 'R -3 m'
_space_group_IT_number 166
_space_group_name_Hall '-R 3 2"'
_cell_length_a 3.4372
_cell_length_b 3.4372
_cell_length_c 34.3345
_cell_angle_alpha 90.00
_cell_angle_beta 90.00
_cell_angle_gamma 120.00
loop_
_atom_site_label
_atom_site_type_symbol
_atom_site_fract_x
_atom_site_fract_y
_atom_site_fract_z
_atom_site_occupancy
Ca1 Ca 0.0000 0.0000 0.0000 1
Tm1 Tm 0.0000 0.0000 0.5000 1
Sc1 Sc 0.0000 0.0000 0.2447 1
```

- Formation enthalpy at 0 K: 0.1528 eV/atom
- Relative energy among the computed polymorphs: 0.013 eV/atom
- Magnetization: 0.00 μB/f.u.
- Crystal system: trigonal

---

(5)
Below is an optimized crystal structure of Co2RhS2, with properties calculated at the PBE level.

```
data_Co2RhS2
_space_group_name_H-M_alt 'I 4/m m m'
_space_group_IT_number 139
_space_group_name_Hall '-I 4 2'
_cell_length_a 3.585
_cell_length_b 3.585
_cell_length_c 10.379
_cell_angle_alpha 90.00
_cell_angle_beta 90.00
_cell_angle_gamma 90.00
loop_
_atom_site_label
_atom_site_type_symbol
_atom_site_fract_x
_atom_site_fract_y
_atom_site_fract_z
_atom_site_occupancy
Co1 Co 0.000 0.500 0.250 1
Rh1 Rh 0.000 0.000 0.000 1
S1 S 0.000 0.000 0.370 1
```

- Relative energy among the computed polymorphs: 0.031 eV/atom
- Magnetization: 0.00 μB/f.u.
- Crystal system: tetragonal

---

(6)
Below is an optimized crystal structure of LaTe2WN, with properties calculated at the PBE level.

```
data_LaTe2WN
_space_group_name_H-M_alt 'P 4/m m m'
_space_group_IT_number 123
_space_group_name_Hall '-P 4 2'
_cell_length_a 5.569
_cell_length_b 5.569
_cell_length_c 3.895
_cell_angle_alpha 90.00
_cell_angle_beta 90.00
_cell_angle_gamma 90.00
loop_
_atom_site_label
_atom_site_type_symbol
_atom_site_fract_x
_atom_site_fract_y
_atom_site_fract_z
_atom_site_occupancy
La1 La 0.000 0.000 0.000 1
Te1 Te 0.000 0.500 0.500 1
W1 W 0.500 0.500 0.500 1
N1 N 0.500 0.500 0.000 1
```

- Relative energy among the computed polymorphs: 0.000 eV/atom
- Magnetization: 0.57 μB/f.u.
- Crystal system: tetragonal

---

(7)
Below is an optimized crystal structure of ScTi2Ge2, with properties calculated at the PBE level.

```
data_ScTi2Ge2
_space_group_name_H-M_alt 'P 4/m b m'
_space_group_IT_number 127
_space_group_name_Hall '-P 4 2ab'
_cell_length_a 7.786
_cell_length_b 7.786
_cell_length_c 2.870
_cell_angle_alpha 90.00
_cell_angle_beta 90.00
_cell_angle_gamma 90.00
loop_
_atom_site_label
_atom_site_type_symbol
_atom_site_fract_x
_atom_site_fract_y
_atom_site_fract_z
_atom_site_occupancy
Sc1 Sc 0.000 0.000 0.000 1
Ti1 Ti 0.120 0.380 0.000 1
Ge1 Ge 0.176 0.676 0.500 1
```

- Formation enthalpy at 0 K: -0.3874 eV/atom
- Relative energy among the computed polymorphs: 0.240 eV/atom
- Magnetization: 0.67 μB/f.u.
- Crystal system: tetragonal

---

(8)
Below is an optimized crystal structure of Ag3TeSe3, with properties calculated at the PBE level.

```
data_Ag3TeSe3
_space_group_name_H-M_alt 'P 1 21/c 1'
_space_group_IT_number 14
_cell_length_a 7.346
_cell_length_b 6.424
_cell_length_c 15.539
_cell_angle_alpha 90.00
_cell_angle_beta 90.92
_cell_angle_gamma 90.00
loop_
_space_group_symop_operation_xyz
'x,y,z'
'-x,-y,-z'
'-x,y+1/2,-z+1/2'
'x,-y+1/2,z+1/2'
loop_
_atom_site_label
_atom_site_type_symbol
_atom_site_fract_x
_atom_site_fract_y
_atom_site_fract_z
_atom_site_occupancy
Ag1 Ag 0.022 0.079 0.347 1
Ag2 Ag 0.291 0.681 0.714 1
Ag3 Ag 0.364 0.019 0.592 1
Te1 Te 0.130 0.017 0.928 1
Se1 Se 0.137 0.171 0.180 1
Se2 Se 0.273 0.624 0.942 1
Se3 Se 0.362 0.058 0.762 1
```

- Relative energy among the computed polymorphs: 0.000 eV/atom
- Magnetization: 0.00 μB/f.u.
- Crystal system: monoclinic

---

(9)
Below is an optimized crystal structure of CaTc2Te, with properties calculated at the PBE level.

```
data_CaTc2Te
_space_group_name_H-M_alt 'I -4 m 2'
_space_group_IT_number 119
_space_group_name_Hall 'I -4 -2'
_cell_length_a 4.341
_cell_length_b 4.341
_cell_length_c 7.948
_cell_angle_alpha 90.00
_cell_angle_beta 90.00
_cell_angle_gamma 90.00
loop_
_atom_site_label
_atom_site_type_symbol
_atom_site_fract_x
_atom_site_fract_y
_atom_site_fract_z
_atom_site_occupancy
Ca1 Ca 0.000 0.000 0.000 1
Tc1 Tc 0.000 0.000 0.500 1
Tc2 Tc 0.000 0.500 0.750 1
Te1 Te 0.000 0.500 0.250 1
```

- Final energy: -6.020 eV/atom
- Magnetization: 0.93 μB/f.u.
- Crystal system: tetragonal

---

(10)
Below is an optimized crystal structure of AgTe2Os, with properties calculated at the PBE level.

```
data_AgTe2Os
_space_group_name_H-M_alt 'I -4 2 d'
_space_group_IT_number 122
_space_group_name_Hall 'I -4 2bw'
_cell_length_a 6.255
_cell_length_b 6.255
_cell_length_c 11.932
_cell_angle_alpha 90.00
_cell_angle_beta 90.00
_cell_angle_gamma 90.00
loop_
_atom_site_label
_atom_site_type_symbol
_atom_site_fract_x
_atom_site_fract_y
_atom_site_fract_z
_atom_site_occupancy
Ag1 Ag 0.000 0.000 0.000 1
Te1 Te 0.216 0.250 0.625 1
Os1 Os 0.000 0.000 0.500 1
```

- Relative energy among the computed polymorphs: 0.172 eV/atom
- Magnetization: 0.00 μB/f.u.
- Crystal system: tetragonal

---

(11)
Below is an optimized crystal structure of Rb3PrO3, with properties calculated at the PBE level.

```
data_Rb3PrO3
_space_group_name_H-M_alt 'I m m a'
_space_group_IT_number 74
_space_group_name_Hall '-I 2b 2'
_cell_length_a 7.259
_cell_length_b 7.959
_cell_length_c 11.879
_cell_angle_alpha 90.00
_cell_angle_beta 90.00
_cell_angle_gamma 90.00
loop_
_atom_site_label
_atom_site_type_symbol
_atom_site_fract_x
_atom_site_fract_y
_atom_site_fract_z
_atom_site_occupancy
Rb1 Rb 0.000 0.250 0.221 1
Rb2 Rb 0.244 0.000 0.500 1
Pr1 Pr 0.000 0.250 0.787 1
O1 O 0.000 0.250 0.977 1
O2 O 0.250 0.053 0.750 1
```

- Final energy: -5.041 eV/atom
- Magnetization: 0.00 μB/f.u.
- Crystal system: orthorhombic

---

(12)
Below is an optimized crystal structure of Ac2HoAgSe5, with properties calculated at the PBE level.

```
data_Ac2HoAgSe5
_space_group_name_H-M_alt 'C m c 21'
_space_group_IT_number 36
_cell_length_a 4.295
_cell_length_b 18.054
_cell_length_c 12.784
_cell_angle_alpha 90.00
_cell_angle_beta 90.00
_cell_angle_gamma 90.00
loop_
_space_group_symop_operation_xyz
'x,y,z'
'-x,-y,z+1/2'
'-x,y,z'
'x,-y,z+1/2'
'x+1/2,y+1/2,z'
'-x+1/2,-y+1/2,z+1/2'
'-x+1/2,y+1/2,z'
'x+1/2,-y+1/2,z+1/2'
loop_
_atom_site_label
_atom_site_type_symbol
_atom_site_fract_x
_atom_site_fract_y
_atom_site_fract_z
_atom_site_occupancy
Ac1 Ac 0.000 0.111 0.000 1
Ac2 Ac 0.000 0.126 0.623 1
Ho1 Ho 0.000 0.194 0.323 1
Ag1 Ag 0.000 0.443 0.771 1
Se1 Se 0.000 0.048 0.385 1
Se2 Se 0.000 0.288 0.976 1
Se3 Se 0.000 0.305 0.667 1
Se4 Se 0.000 0.355 0.315 1
Se5 Se 0.000 0.498 0.086 1
```

- Final energy: -5.348 eV/atom
- Magnetization: 0.00 μB/f.u.
- Crystal system: orthorhombic

---

Copy entry 6 word for word.
Below is an optimized crystal structure of LaTe2WN, with properties calculated at the PBE level.

```
data_LaTe2WN
_space_group_name_H-M_alt 'P 4/m m m'
_space_group_IT_number 123
_space_group_name_Hall '-P 4 2'
_cell_length_a 5.569
_cell_length_b 5.569
_cell_length_c 3.895
_cell_angle_alpha 90.00
_cell_angle_beta 90.00
_cell_angle_gamma 90.00
loop_
_atom_site_label
_atom_site_type_symbol
_atom_site_fract_x
_atom_site_fract_y
_atom_site_fract_z
_atom_site_occupancy
La1 La 0.000 0.000 0.000 1
Te1 Te 0.000 0.500 0.500 1
W1 W 0.500 0.500 0.500 1
N1 N 0.500 0.500 0.000 1
```

- Relative energy among the computed polymorphs: 0.000 eV/atom
- Magnetization: 0.57 μB/f.u.
- Crystal system: tetragonal

---

Q: What is the magnetization in the first record?
A: 6.00 μB/f.u.